[1]
The following is a GGA-PBEsol calculation of crystalline Ni2HgAs2 at its relaxed geometry, from the Alexandria database.

Geometry as extended XYZ:
```
5
Lattice="-1.742 1.983 3.183 2.690 -1.784 2.584 2.516 3.516 -3.500" Properties=species:S:1:pos:R:3 pbc="T T T"
Hg 0.000 0.000 0.000
As 1.273 1.066 2.718
As 2.191 2.649 -0.452
Ni 2.840 0.916 0.983
Ni 0.624 2.799 1.283
```

Summary:
formation energy: -0.023 eV/atom
VASP energy: -23.2 eV/cell

[2]
The following is a GGA-PBEsol calculation of crystalline BePt2 at its relaxed geometry, from the Alexandria database.

Geometry as extended XYZ:
```
6
Lattice="2.731 0.000 0.000 0.000 2.731 0.000 -1.366 -1.366 10.364" Properties=species:S:1:pos:R:3 pbc="T T T"
Pt 1.366 0.000 6.595
Pt 0.000 0.000 8.951
Pt 1.366 1.366 1.413
Pt 1.366 0.000 3.769
Be 0.000 1.366 5.182
Be 0.000 0.000 0.000
```

Summary:
formation energy: -0.519 eV/atom
VASP energy: -39.0 eV/cell

[3]
The following is a GGA-PBEsol calculation of crystalline Cd2Sb2O7 at its relaxed geometry, from the Alexandria database.

Geometry as extended XYZ:
```
22
Lattice="7.267 0.000 0.000 3.633 6.322 0.011 3.633 1.986 6.002" Properties=species:S:1:pos:R:3 pbc="T T T"
O 5.149 5.396 3.346
O 10.900 3.938 5.019
O 7.267 3.830 5.168
O 12.416 7.597 4.939
O 9.384 7.597 4.939
O 7.267 6.884 3.606
O 5.149 0.711 1.074
O 7.267 4.477 0.845
O 9.384 5.396 3.346
O 7.267 1.423 2.407
O 5.149 2.911 2.667
O 3.633 4.369 0.994
O 9.384 2.911 2.667
O 2.117 0.711 1.074
Cd 7.267 4.154 3.006
Cd 1.817 3.161 0.006
Cd 0.000 0.000 0.000
Cd 5.450 3.161 0.006
Sb 1.817 0.993 3.001
Sb 5.450 0.993 3.001
Sb 3.633 0.000 0.000
Sb 3.633 4.154 3.006
```

Summary:
VASP energy: -126.4 eV/cell
formation energy without anion corrections: -131.2 kJ per mole of atoms

[4]
The following is a GGA-PBEsol calculation of crystalline LiSbAu2 at its relaxed geometry, from the Alexandria database.

Geometry as extended XYZ:
```
4
Lattice="-3.424 -0.365 -2.053 -1.238 -3.082 2.613 -1.755 3.009 2.393" Properties=species:S:1:pos:R:3 pbc="T T T"
Au -0.619 -1.541 1.306
Au -0.877 1.505 1.196
Sb -3.209 -0.219 1.476
Li -1.712 -0.182 -1.027
```

Summary:
VASP energy: -15.6 eV/cell
formation energy without anion corrections: -30.4 kJ per mole of atoms